# Pu7Os2Ru2, optimized geometry, DFT GGA-PBE
# **DOS(E_F)**: 2.53 states/eV/atom
# **Formation energy**: 0.91 eV/f.u.
# **E_tot**: -0.9382 Ry per atom
# **Crystal system**: monoclinic
data_Pu7Os2Ru2
_chemical_formula_sum 'Pu7 Os2 Ru2'
_symmetry_space_group_name_H-M 'P 1'
_symmetry_Int_Tables_number 1
_cell_length_a 6.355
_cell_length_b 6.355
_cell_length_c 5.633
_cell_angle_alpha 92.94
_cell_angle_beta 92.94
_cell_angle_gamma 85.50
loop_
_symmetry_equiv_pos_as_xyz
'x,y,z'
loop_
_atom_site_label
_atom_site_fract_x
_atom_site_fract_y
_atom_site_fract_z
Pu1 0.000 0.000 0.000
Pu2 0.080 0.443 0.266
Pu3 0.443 0.080 0.266
Pu4 0.477 0.477 0.249
Pu5 0.523 0.523 0.751
Pu6 0.557 0.920 0.734
Pu7 0.920 0.557 0.734
Os1 0.152 0.848 0.500
Os2 0.848 0.152 0.500
Ru1 0.228 0.228 0.774
Ru2 0.772 0.772 0.226